Here is an optimized crystal structure of TaNbCuGe from OQMD. Energies are from PBE.

Cell and atoms, written as POSCAR:
```
TaNbCuGe
1.0
6.387 0.000 0.000
0.000 6.387 0.000
0.000 0.000 6.387
Ta Nb Cu Ge
4 4 4 4
direct
0.000 0.000 0.000
0.000 0.500 0.500
0.500 0.000 0.500
0.500 0.500 0.000
0.250 0.250 0.250
0.250 0.750 0.750
0.750 0.250 0.750
0.750 0.750 0.250
0.250 0.250 0.750
0.250 0.750 0.250
0.750 0.250 0.250
0.750 0.750 0.750
0.000 0.000 0.500
0.000 0.500 0.000
0.500 0.000 0.000
0.500 0.500 0.500
```

Output
- VASP energy (eV for the cell shown) = -116.2

Here is an optimized crystal structure of ZnAsPt5 from OQMD. Energies are from PBE.

Cell and atoms, written as POSCAR:
```
ZnAsPt5
1.0
3.966 0.000 0.000
0.000 3.966 0.000
0.000 0.000 7.172
Zn As Pt
1 1 5
direct
0.000 0.000 0.000
0.500 0.500 0.500
0.000 0.500 0.277
0.000 0.500 0.723
0.500 0.000 0.277
0.500 0.000 0.723
0.500 0.500 0.000
```

Output
- VASP energy (eV for the cell shown) = -38.4